VASP calculation (GGA-PBE) on a geometry-optimized Dy3ErPd3 structure.

Cell and atoms, written as extended XYZ:
```
14
Lattice="4.5890 -5.2105 0.0000 4.5890 5.2105 0.0000 -0.2744 0.0000 7.0826" Properties=species:S:1:pos:R:3 pbc="T T T"
Dy 4.5890 3.3739 0.0000
Dy 4.4518 2.5872 3.5413
Dy 3.1548 0.0000 0.9498
Dy 5.7488 0.0000 6.1327
Dy 4.4518 -2.5872 3.5413
Dy 4.5890 -3.3739 0.0000
Er 2.2213 0.0000 4.4171
Er 6.6822 0.0000 2.6655
Pd 2.1606 2.5276 5.5231
Pd 0.4854 0.0000 2.1869
Pd 6.7429 2.5276 1.5595
Pd 2.1606 -2.5276 5.5231
Pd 8.4181 0.0000 4.8956
Pd 6.7429 -2.5276 1.5595
```

Properties
The space-group type is C2/m (12). The calculation puts the total magnetization at 0.0 Bohr magnetons per cell. The calculated density is 9.55 Mg/m³. Its calculated formation energy is -476.3 kJ/mol of formula units.